Record 1
Crystalline Ca2TiPIr at its relaxed geometry, computed with PBE-GGA.

Cell: 5.3833 4.6729 5.3833 Å, 90.00 90.00 90.00°
Each line ends with the local moment (μB).
Atoms (fractional coordinates):
P 0.5000 0.5000 0.5000  -0.03
Ca 0.0000 0.0000 0.5000  0.02
Ca 0.5000 0.0000 0.0000  0.04
Ir 0.0000 0.0000 0.0000  -0.04
Ti 0.0000 0.5000 0.0000  1.01

total DFT energy (no corrections)	-25.9	eV/f.u.
calculated volume	135	Å³ per cell
space group	P4/mmm (123)

---

Record 2
Crystalline In10GaPb4 at its relaxed geometry, computed with PBE-GGA.

Cell: 9.2249 8.4040 8.4040 Å, 72.47 56.71 56.71°
Atoms (fractional coordinates):
In 0.2500 0.5000 0.5000
In 0.6984 0.3149 0.9055
In 0.9867 0.0945 0.3149
In 0.3961 0.9055 0.6851
In 0.9188 0.6851 0.0945
In 0.3016 0.6851 0.0945
In 0.7500 0.5000 0.5000
In 0.0812 0.3149 0.9055
In 0.6039 0.0945 0.3149
In 0.0133 0.9055 0.6851
Ga 0.0000 0.0000 0.0000
Pb 0.4456 0.8099 0.2990
Pb 0.7445 0.7010 0.8099
Pb 0.2555 0.2990 0.1901
Pb 0.5544 0.1901 0.7010

total DFT energy (no corrections)	-44.0	eV/f.u.
calculated volume	455	Å³ per cell
space group	I4/m (87)

---

Record 3
Crystalline NaDy2PbO6 at its relaxed geometry, computed with PBE-GGA.

Cell: 5.8065 5.8060 6.1835 Å, 62.00 61.99 60.00°
Each line ends with the local moment (μB).
Atoms (fractional coordinates):
Na 0.8009 0.8009 0.5973  0.00
Dy 0.5231 0.5231 0.4306  -0.01
Dy 0.0162 0.0162 0.9514  0.02
Pb 0.3123 0.3122 0.0633  -0.01
O 0.6061 0.2298 0.2371  0.07
O 0.2299 0.9269 0.2370  0.07
O 0.9269 0.6061 0.2371  0.07
O 0.3841 0.7084 0.7538  0.23
O 0.7084 0.1537 0.7538  0.23
O 0.1536 0.3842 0.7538  0.23

total DFT energy (no corrections)	-65.7	eV/f.u.
calculated volume	152	Å³ per cell
formation energy from raw total energies	-2170	meV/atom
space group	R3 (146)

---

Record 4
Crystalline BSbSN2 at its relaxed geometry, computed with PBE-GGA.

Cell: 3.9384 3.9384 5.3321 Å, 90.00 90.00 90.00°
Atoms (fractional coordinates):
Sb 0.0000 0.0000 0.0000
S 0.0000 0.0000 0.5000
B 0.5000 0.5000 0.5000
N 0.0000 0.5000 0.0000
N 0.5000 0.0000 0.0000

total DFT energy (no corrections)	-21.3	eV/f.u.
energy above the most stable polymorph in this dataset	0.741	eV/atom
calculated volume	83	Å³ per cell
formation energy from raw total energies	2059	meV/atom
space group	P4/mmm (123)

---

Look up the total DFT energy (no corrections) of the first one.
-25.9 eV/f.u.

---

Repeat the first record exactly.
Crystalline Ca2TiPIr at its relaxed geometry, computed with PBE-GGA.

Cell: 5.3833 4.6729 5.3833 Å, 90.00 90.00 90.00°
Each line ends with the local moment (μB).
Atoms (fractional coordinates):
P 0.5000 0.5000 0.5000  -0.03
Ca 0.0000 0.0000 0.5000  0.02
Ca 0.5000 0.0000 0.0000  0.04
Ir 0.0000 0.0000 0.0000  -0.04
Ti 0.0000 0.5000 0.0000  1.01

total DFT energy (no corrections)	-25.9	eV/f.u.
calculated volume	135	Å³ per cell
space group	P4/mmm (123)